(1)
The following is a DFT calculation (PBE-GGA) of an optimized crystal structure of ZnAgTe2Ru.

a b c (Å): 5.345 5.345 5.159
angles (deg): 90.00 90.00 90.00
Space group P4/mmm (No. 123)
One atom of each set of equivalent atoms:
Zn: 0.000 0.000 0.000 (multiplicity 1)
Ag: 0.500 0.500 0.500 (multiplicity 1)
Te: 0.000 0.500 0.500 (multiplicity 2)
Ru: 0.500 0.500 0.000 (multiplicity 1)

Values from the calculation:
* formation energy (no corrections): 1.212 eV/atom



(2)
The following is a DFT calculation (PBE-GGA) of an optimized crystal structure of Ce3Dy2PuAs6.

a b c (Å): 7.233 12.527 7.213
angles (deg): 90.00 109.52 90.00
Space group C2/m (No. 12)
One atom of each set of equivalent atoms:
Ce: 0.000 0.000 0.000 (multiplicity 2)
Ce: 0.000 0.333 0.000 (multiplicity 4)
Dy: 0.000 0.167 0.500 (multiplicity 4)
Pu: 0.000 0.500 0.500 (multiplicity 2)
As: 0.248 0.000 0.746 (multiplicity 4)
As: 0.249 0.333 0.746 (multiplicity 8)

Values from the calculation:
* energy of formation from the pure elements: -1.395 eV/atom



(3)
The following is a DFT calculation (PBE-GGA) of an optimized crystal structure of SrLaNi2.

a b c (Å): 4.1509 4.1509 20.8660
angles (deg): 90.00 90.00 120.00
Space group R-3m (No. 166, hexagonal axes)
One atom of each set of equivalent atoms:
Sr: 0.0000 0.0000 0.0000 (multiplicity 3)
La: 0.0000 0.0000 0.5000 (multiplicity 3)
Ni: 0.0000 0.0000 0.2384 (multiplicity 6)

Values from the calculation:
* energy of formation from the pure elements: 0.004 eV/atom
* relative energy among the computed polymorphs: 173 meV/atom



(4)
The following is a DFT calculation (PBE-GGA) of an optimized crystal structure of KBaHg12.

a b c (Å): 6.971 6.971 14.515
angles (deg): 90.00 90.00 90.00
Space group P4/mmm (No. 123)
One atom of each set of equivalent atoms:
K: 0.000 0.000 0.000 (multiplicity 1)
Ba: 0.000 0.000 0.500 (multiplicity 1)
Hg: 0.196 0.500 0.254 (multiplicity 8)
Hg: 0.500 0.500 0.097 (multiplicity 2)
Hg: 0.500 0.500 0.406 (multiplicity 2)

Values from the calculation:
* energy of formation from the pure elements: 0.159 eV/atom



Number 1: mass density 5.97 g/cm3. Number 2: mass density 7.76 g/cm3. Number 3: mass density 5.50 g/cm3. Number 4: mass density 6.08 g/cm3.